{
  "formula": "BeReAu2",
  "functional": "GGA-PBE",
  "state": "relaxed",
  "lattice_angstrom": [[1.415, 0.817, 8.608], [-1.415, 0.817, 8.608], [0.000, -1.634, 8.608]],
  "species": ["Be", "Re", "Au", "Au"],
  "frac_coords": [[0.000, 0.000, 0.000], [0.500, 0.500, 0.500], [0.260, 0.260, 0.260], [0.740, 0.740, 0.740]],
  "volume_a3_per_atom": 14.93,
  "e_tot_ev_per_cell": -21.43,
  "formation_energy_kj_per_mol_atoms": 31.4,
  "mass_density_g_cm3": 16.386,
  "dos_ef_per_ev_atom": 0.917
}